1.
! TiCrN2O, optimized geometry, DFT PBE with a Hubbard U; values from VASP
! - Space group: No. 123
! - Raw total energy: -7.517 eV per atom
! - DOS(E_F): 2.164 states/eV/cell
! - Total moment: 2.0 μB per cell
&SYSTEM
  ibrav = 0, nat = 5, ntyp = 4
/
ATOMIC_SPECIES
Ti 47.87 Ti.upf
Cr 52.00 Cr.upf
N 14.01 N.upf
O 16.00 O.upf
ATOMIC_POSITIONS crystal
Ti 0.0000 0.0000 0.0000
Cr 0.5000 0.5000 0.5000
N 0.0000 0.5000 0.5000
N 0.5000 0.0000 0.5000
O 0.5000 0.5000 0.0000
CELL_PARAMETERS angstrom
3.7254 0.0000 0.0000
0.0000 3.7254 0.0000
0.0000 0.0000 3.7550



2.
! TlCrNO2, optimized geometry, DFT PBE with a Hubbard U; values from VASP
! - Space group: No. 123
! - Raw total energy: -4.801 eV per atom
! - DOS(E_F): 2.678 states/eV/cell
! - Total moment: 2.8 μB per cell
&SYSTEM
  ibrav = 0, nat = 5, ntyp = 4
/
ATOMIC_SPECIES
Tl 204.38 Tl.upf
Cr 52.00 Cr.upf
N 14.01 N.upf
O 16.00 O.upf
ATOMIC_POSITIONS crystal
Tl 0.0000 0.0000 0.0000
Cr 0.5000 0.5000 0.5000
N 0.0000 0.0000 0.5000
O 0.0000 0.5000 0.0000
O 0.5000 0.0000 0.0000
CELL_PARAMETERS angstrom
4.2308 0.0000 0.0000
0.0000 4.2308 0.0000
0.0000 0.0000 4.3408



3.
! TlCrNO2, optimized geometry, DFT PBE with a Hubbard U; values from VASP
! - Space group: No. 123
! - Raw total energy: -5.700 eV per atom
! - DOS(E_F): 3.558 states/eV/cell
! - Total moment: 0.0 μB per cell
&SYSTEM
  ibrav = 0, nat = 5, ntyp = 4
/
ATOMIC_SPECIES
Tl 204.38 Tl.upf
Cr 52.00 Cr.upf
N 14.01 N.upf
O 16.00 O.upf
ATOMIC_POSITIONS crystal
Tl 0.0000 0.0000 0.0000
Cr 0.5000 0.5000 0.5000
N 0.5000 0.5000 0.0000
O 0.0000 0.5000 0.5000
O 0.5000 0.0000 0.5000
CELL_PARAMETERS angstrom
3.7014 0.0000 0.0000
0.0000 3.7014 0.0000
0.0000 0.0000 4.2049